Entry from Alexandria: a geometry-optimized Mg3Cd6Ag structure (PBE).

Unit cell a=7.687 b=7.687 c=7.687 alpha=85.17 beta=85.17 gamma=85.17
Element x y z (fractional)
Mg  0.221  0.636  0.757
Mg  0.243  0.779  0.364
Mg  0.364  0.243  0.779
Mg  0.636  0.757  0.221
Mg  0.757  0.221  0.636
Mg  0.779  0.364  0.243
Cd  0.008  0.641  0.119
Cd  0.119  0.008  0.641
Cd  0.137  0.370  0.459
Cd  0.359  0.881  0.992
Cd  0.370  0.459  0.137
Cd  0.459  0.137  0.370
Cd  0.541  0.863  0.630
Cd  0.630  0.541  0.863
Cd  0.641  0.119  0.008
Cd  0.863  0.630  0.541
Cd  0.881  0.992  0.359
Cd  0.992  0.359  0.881
Ag  0.000  0.000  0.000
Ag  0.500  0.500  0.500

- Distance to the lowest polymorph of the same formula: 28.9 kJ/mol of formula units
- Calculated volume: 449.69 Å³ per cell
- Electronic total energy: -1.334 eV/atom
- Space-group type: No. 148
- Formation enthalpy at 0 K: -0.022 eV per atom


Entry from Alexandria: a geometry-optimized Sc3Cr structure (PBE).

Unit cell a=5.040 b=5.040 c=5.040 alpha=123.54 beta=123.54 gamma=83.97
Element x y z (fractional)
Sc  0.000  0.000  0.000
Sc  0.250  0.750  0.500
Sc  0.750  0.250  0.500
Cr  0.500  0.500  0.000

- Calculated volume: 85.15 Å³ per cell
- Electronic total energy: -6.937 eV/atom
- Space-group type: No. 139
- Formation enthalpy at 0 K: 0.218 eV per atom


Entry from Alexandria: a geometry-optimized KNaSr structure (PBE).

Unit cell a=4.285 b=4.285 c=10.286 alpha=90.00 beta=90.00 gamma=120.00
Element x y z (fractional)
K  0.000  0.000  0.000
Na  0.333  0.667  0.671
Sr  0.667  0.333  0.367

- Distance to the lowest polymorph of the same formula: 16.8 kJ/mol of formula units
- Calculated volume: 163.58 Å³ per cell
- Electronic total energy: -1.288 eV/atom
- Space-group type: No. 156
- Formation enthalpy at 0 K: 0.078 eV per atom


Entry from Alexandria: a geometry-optimized NiH3Pd structure (PBE).

Unit cell a=3.411 b=3.411 c=3.411 alpha=90.00 beta=90.00 gamma=90.00
Element x y z (fractional)
Ni  0.000  0.000  0.000
H  0.000  0.500  0.500
H  0.500  0.000  0.500
H  0.500  0.500  0.000
Pd  0.500  0.500  0.500

- Distance to the lowest polymorph of the same formula: 138.4 kJ/mol of formula units
- Calculated volume: 39.70 Å³ per cell
- Electronic total energy: -3.934 eV/atom
- Space-group type: No. 221


Entry from Alexandria: a geometry-optimized V3HgRu structure (PBE).

Unit cell a=4.559 b=4.559 c=4.559 alpha=90.00 beta=90.00 gamma=90.00
Element x y z (fractional)
V  0.000  0.000  0.500
V  0.000  0.500  0.000
V  0.500  0.000  0.000
Hg  0.500  0.500  0.500
Ru  0.000  0.000  0.000

- Distance to the lowest polymorph of the same formula: 0.0 kJ/mol of formula units
- Calculated volume: 94.78 Å³ per cell
- Electronic total energy: -6.453 eV/atom
- Space-group type: No. 221
- Formation enthalpy at 0 K: 0.933 eV per atom


Entry from Alexandria: a geometry-optimized ZrOsBr4 structure (PBE).

Unit cell a=5.946 b=5.946 c=5.946 alpha=60.00 beta=60.00 gamma=60.00
Element x y z (fractional)
Zr  0.000  0.000  0.000
Os  0.250  0.250  0.250
Br  0.125  0.625  0.625
Br  0.625  0.125  0.625
Br  0.625  0.625  0.125
Br  0.625  0.625  0.625

- Uncorrected formation energy: 1.403 eV per atom
- Calculated volume: 148.64 Å³ per cell
- Electronic total energy: -3.009 eV/atom
- Space-group type: No. 216


Entry from Alexandria: a geometry-optimized Cs3BrO4 structure (PBE).

Unit cell a=10.840 b=10.840 c=5.349 alpha=104.22 beta=104.22 gamma=22.64
Element x y z (fractional)
Cs  0.000  0.000  0.000
Cs  0.163  0.163  0.662
Cs  0.837  0.837  0.338
Br  0.500  0.500  0.500
O  0.303  0.303  0.803
O  0.368  0.368  0.870
O  0.632  0.632  0.130
O  0.697  0.697  0.197

- Uncorrected formation energy: -1.021 eV per atom
- Calculated volume: 234.21 Å³ per cell
- Electronic total energy: -4.029 eV/atom
- Space-group type: No. 12


Entry from Alexandria: a geometry-optimized DyNpSn6 structure (PBE).

Unit cell a=4.704 b=4.704 c=9.251 alpha=90.00 beta=90.00 gamma=90.00
Element x y z (fractional)
Dy  0.000  0.000  0.000
Np  0.000  0.000  0.500
Sn  0.000  0.500  0.253
Sn  0.000  0.500  0.747
Sn  0.500  0.000  0.253
Sn  0.500  0.000  0.747
Sn  0.500  0.500  0.000
Sn  0.500  0.500  0.500

- Calculated volume: 204.70 Å³ per cell
- Electronic total energy: -5.478 eV/atom
- Space-group type: No. 123
- Formation enthalpy at 0 K: -0.283 eV per atom


> Which of these has the highest electronic total energy?

KNaSr